Computed, not measured: a relaxed Mg7InPt4 crystal at the PBE-GGA level of DFT.

Results
VASP energy	-3.63	eV per atom

a = 12.829 Å, b = 4.936 Å, c = 9.235 Å
α = 90.00°, β = 126.44°, γ = 90.00°
Space group C2/m (No. 12)
Symmetry-distinct sites (fractional):
Mg 0.000 0.000 0.000 [2 per cell]
Mg 0.066 0.500 0.371 [4 per cell]
Mg 0.186 0.000 0.627 [4 per cell]
Mg 0.219 0.500 0.873 [4 per cell]
In 0.000 0.500 0.000 [2 per cell]
Pt 0.067 0.000 0.777 [4 per cell]
Pt 0.196 0.000 0.343 [4 per cell]